VASP calculation (PBE-GGA) on crystalline Ca2GaCo5B2 at its relaxed geometry.

Cell and atoms, written as CIF:
```
data_Ca2GaCo5B2
_chemical_formula_sum 'Ca4 Ga2 Co10 B4'
_cell_length_a 9.234
_cell_length_b 9.234
_cell_length_c 2.857
_cell_angle_alpha 90.00
_cell_angle_beta 90.00
_cell_angle_gamma 90.00
_symmetry_space_group_name_H-M 'P 4/m b m'
_symmetry_Int_Tables_number 127
_symmetry_space_group_name_Hall '-P 4 2ab'
loop_
_atom_site_label
_atom_site_fract_x
_atom_site_fract_y
_atom_site_fract_z
_atom_site_occupancy
Ca1 0.179 0.321 0.000 1
Ga1 0.000 0.000 0.000 1
Co1 0.000 0.500 0.500 1
Co2 0.067 0.773 0.500 1
B1 0.119 0.619 0.000 1
```


VASP calculation (PBE-GGA) on crystalline CaHfCoB2 at its relaxed geometry.

Cell and atoms, written as CIF:
```
data_CaHfCoB2
_chemical_formula_sum 'Ca1 Hf1 Co1 B2'
_cell_length_a 4.025
_cell_length_b 4.025
_cell_length_c 4.490
_cell_angle_alpha 90.00
_cell_angle_beta 90.00
_cell_angle_gamma 90.00
_symmetry_space_group_name_H-M 'P 4/m m m'
_symmetry_Int_Tables_number 123
_symmetry_space_group_name_Hall '-P 4 2'
loop_
_atom_site_label
_atom_site_fract_x
_atom_site_fract_y
_atom_site_fract_z
_atom_site_occupancy
Ca1 0.000 0.000 0.000 1
Hf1 0.500 0.500 0.000 1
Co1 0.000 0.000 0.500 1
B1 0.000 0.500 0.500 1
```


VASP calculation (PBE-GGA) on crystalline CaInCoB2 at its relaxed geometry.

ΔE to the lowest computed polymorph: 1.099 eV per atom

Cell and atoms, written as CIF:
```
data_CaInCoB2
_chemical_formula_sum 'Ca1 In1 Co1 B2'
_cell_length_a 4.526
_cell_length_b 4.526
_cell_length_c 5.688
_cell_angle_alpha 90.00
_cell_angle_beta 90.00
_cell_angle_gamma 90.00
_symmetry_space_group_name_H-M 'P 4/m m m'
_symmetry_Int_Tables_number 123
_symmetry_space_group_name_Hall '-P 4 2'
loop_
_atom_site_label
_atom_site_fract_x
_atom_site_fract_y
_atom_site_fract_z
_atom_site_occupancy
Ca1 0.000 0.000 0.000 1
In1 0.000 0.000 0.500 1
Co1 0.500 0.500 0.500 1
B1 0.000 0.500 0.000 1
```


VASP calculation (PBE-GGA) on crystalline CaInCoB2 at its relaxed geometry.

ΔE to the lowest computed polymorph: 0.000 eV per atom

Cell and atoms, written as CIF:
```
data_CaInCoB2
_chemical_formula_sum 'Ca1 In1 Co1 B2'
_cell_length_a 4.477
_cell_length_b 4.477
_cell_length_c 4.829
_cell_angle_alpha 90.00
_cell_angle_beta 90.00
_cell_angle_gamma 90.00
_symmetry_space_group_name_H-M 'P 4/m m m'
_symmetry_Int_Tables_number 123
_symmetry_space_group_name_Hall '-P 4 2'
loop_
_atom_site_label
_atom_site_fract_x
_atom_site_fract_y
_atom_site_fract_z
_atom_site_occupancy
Ca1 0.000 0.000 0.000 1
In1 0.500 0.500 0.500 1
Co1 0.500 0.500 0.000 1
B1 0.000 0.500 0.500 1
```


VASP calculation (PBE-GGA) on crystalline CaCoB2Ir at its relaxed geometry.

Cell and atoms, written as CIF:
```
data_CaCoB2Ir
_chemical_formula_sum 'Ca2 Co2 B4 Ir2'
_cell_length_a 3.751
_cell_length_b 3.751
_cell_length_c 9.905
_cell_angle_alpha 90.00
_cell_angle_beta 90.00
_cell_angle_gamma 90.00
_symmetry_space_group_name_H-M 'I -4 m 2'
_symmetry_Int_Tables_number 119
_symmetry_space_group_name_Hall 'I -4 -2'
loop_
_atom_site_label
_atom_site_fract_x
_atom_site_fract_y
_atom_site_fract_z
_atom_site_occupancy
Ca1 0.000 0.000 0.000 1
Co1 0.000 0.500 0.250 1
B1 0.000 0.000 0.337 1
Ir1 0.000 0.500 0.750 1
```


VASP calculation (PBE-GGA) on crystalline LiCaCoB at its relaxed geometry.

Cell and atoms, written as CIF:
```
data_LiCaCoB
_chemical_formula_sum 'Li2 Ca2 Co2 B2'
_cell_length_a 3.626
_cell_length_b 3.626
_cell_length_c 10.699
_cell_angle_alpha 90.00
_cell_angle_beta 90.00
_cell_angle_gamma 90.00
_symmetry_space_group_name_H-M 'P 4/n m m'
_symmetry_Int_Tables_number 129
loop_
_symmetry_equiv_pos_as_xyz
'x,y,z'
'-x,-y,-z'
'-y+1/2,x,z'
'y+1/2,-x,-z'
'-x+1/2,-y+1/2,z'
'x+1/2,y+1/2,-z'
'y,-x+1/2,z'
'-y,x+1/2,-z'
'x+1/2,-y,-z'
'-x+1/2,y,z'
'-y,-x,-z'
'y,x,z'
'-x,y+1/2,-z'
'x,-y+1/2,z'
'y+1/2,x+1/2,-z'
'-y+1/2,-x+1/2,z'
loop_
_atom_site_label
_atom_site_fract_x
_atom_site_fract_y
_atom_site_fract_z
_atom_site_occupancy
Li1 0.250 0.750 0.000 1
Ca1 0.250 0.250 0.281 1
Co1 0.250 0.750 0.500 1
B1 0.250 0.250 0.576 1
```


VASP calculation (PBE-GGA) on crystalline CaMgCo2B at its relaxed geometry.

Cell and atoms, written as CIF:
```
data_CaMgCo2B
_chemical_formula_sum 'Ca1 Mg1 Co2 B1'
_cell_length_a 4.450
_cell_length_b 4.450
_cell_length_c 5.425
_cell_angle_alpha 90.00
_cell_angle_beta 90.00
_cell_angle_gamma 90.00
_symmetry_space_group_name_H-M 'P 4/m m m'
_symmetry_Int_Tables_number 123
_symmetry_space_group_name_Hall '-P 4 2'
loop_
_atom_site_label
_atom_site_fract_x
_atom_site_fract_y
_atom_site_fract_z
_atom_site_occupancy
Ca1 0.000 0.000 0.000 1
Mg1 0.000 0.000 0.500 1
Co1 0.000 0.500 0.500 1
B1 0.500 0.500 0.000 1
```


VASP calculation (PBE-GGA) on crystalline Ca2Co3NiB12 at its relaxed geometry.

Cell and atoms, written as CIF:
```
data_Ca2Co3NiB12
_chemical_formula_sum 'Ca6 Co9 Ni3 B36'
_cell_length_a 5.2831
_cell_length_b 5.2831
_cell_length_c 22.7073
_cell_angle_alpha 90.00
_cell_angle_beta 90.00
_cell_angle_gamma 120.00
_symmetry_space_group_name_H-M 'R -3 m'
_symmetry_Int_Tables_number 166
_symmetry_space_group_name_Hall '-R 3 2"'
loop_
_atom_site_label
_atom_site_fract_x
_atom_site_fract_y
_atom_site_fract_z
_atom_site_occupancy
Ca1 0.0000 0.0000 0.1411 1
Co1 0.0000 0.5000 0.0000 1
Ni1 0.0000 0.0000 0.5000 1
B1 0.0962 0.5481 0.0904 1
B2 0.1062 0.2124 0.7385 1
```


Number 1: final energy -5.719 eV/atom. Number 2: final energy -5.565 eV/atom. Number 3: final energy -2.492 eV/atom. Number 4: final energy -3.591 eV/atom. Number 5: final energy -6.736 eV/atom. Number 6: final energy -4.623 eV/atom. Number 7: final energy -3.044 eV/atom. Number 8: final energy -6.086 eV/atom.